(1)
The following is a DFT calculation (PBE) of a relaxed SnGe2Au2 crystal.

Unit cell a=8.0834 b=8.0834 c=3.1734 alpha=90.00 beta=90.00 gamma=90.00
Space group P4/mbm (No. 127)
Symmetry-distinct sites (fractional):
1 Sn 0.0000 0.0000 0.0000 [2 per cell]
2 Ge 0.1338 0.3662 0.5000 [4 per cell]
3 Au 0.1639 0.6639 0.0000 [4 per cell]

Results
- ΔE_f: 0.3 eV per formula unit
- Total energy: -3.8922 eV per atom
- Polymorph energy (0 for the lowest one): 0.350 kcal/mol of atoms

=====

(2)
The following is a DFT calculation (PBE) of a relaxed Ta2FeCu crystal.

Unit cell a=2.8809 b=3.6561 c=5.6253 alpha=90.00 beta=95.17 gamma=90.00
Space group P2/m (No. 10)
Symmetry-distinct sites (fractional):
1 Ta 0.0414 0.0000 0.2614 [2 per cell]
2 Fe 0.5000 0.5000 0.5000 [1 per cell]
3 Cu 0.5000 0.5000 0.0000 [1 per cell]

Results
- ΔE_f: 0.3 eV per formula unit
- Total energy: -8.9939 eV per atom
- Polymorph energy (0 for the lowest one): 0.825 kcal/mol of atoms

=====

(3)
The following is a DFT calculation (PBE) of a relaxed PmEuN2 crystal.

Unit cell a=3.6064 b=3.6064 c=17.6579 alpha=90.00 beta=90.00 gamma=120.00
Space group R-3m (No. 166, hexagonal axes)
Symmetry-distinct sites (fractional):
1 Pm 0.0000 0.0000 0.0000 [3 per cell]
2 Eu 0.0000 0.0000 0.5000 [3 per cell]
3 N 0.0000 0.0000 0.2508 [6 per cell]

Results
- Formation energy without anion corrections: -1.11 eV/atom
- Total energy: -9.0327 eV per atom

=====

(4)
The following is a DFT calculation (PBE) of a relaxed Pm3MgPd12 crystal.

Unit cell a=4.1477 b=4.1477 c=16.4155 alpha=90.00 beta=90.00 gamma=90.00
Space group P4/mmm (No. 123)
Symmetry-distinct sites (fractional):
1 Pm 0.0000 0.0000 0.0000 [1 per cell]
2 Pm 0.0000 0.0000 0.2581 [2 per cell]
3 Mg 0.0000 0.0000 0.5000 [1 per cell]
4 Pd 0.0000 0.5000 0.1284 [4 per cell]
5 Pd 0.0000 0.5000 0.3862 [4 per cell]
6 Pd 0.5000 0.5000 0.0000 [1 per cell]
7 Pd 0.5000 0.5000 0.2565 [2 per cell]
8 Pd 0.5000 0.5000 0.5000 [1 per cell]

Results
- ΔE_f: -11.2 eV per formula unit
- Total energy: -5.5875 eV per atom

=====

(5)
The following is a DFT calculation (PBE) of a relaxed ScNiAs2 crystal.

Unit cell a=3.5455 b=3.7658 c=5.3896 alpha=90.00 beta=90.00 gamma=90.00
Space group Pmmm (No. 47)
Symmetry-distinct sites (fractional):
1 Sc 0.0000 0.0000 0.0000 [1 per cell]
2 Ni 0.5000 0.0000 0.5000 [1 per cell]
3 As 0.5000 0.5000 0.2437 [2 per cell]

Results
- ΔE_f: -2.3 eV per formula unit
- Total energy: -5.9331 eV per atom

=====

(6)
The following is a DFT calculation (PBE) of a relaxed NbGa2HCl crystal.

Unit cell a=4.9728 b=4.9728 c=3.3839 alpha=90.00 beta=90.00 gamma=90.00
Space group P4/mmm (No. 123)
Symmetry-distinct sites (fractional):
1 Nb 0.0000 0.0000 0.0000 [1 per cell]
2 Ga 0.0000 0.5000 0.5000 [2 per cell]
3 H 0.0000 0.0000 0.5000 [1 per cell]
4 Cl 0.5000 0.5000 0.0000 [1 per cell]

Results
- Total energy: -4.0415 eV per atom
- Polymorph energy (0 for the lowest one): 0.000 kcal/mol of atoms

=====

(7)
The following is a DFT calculation (PBE) of a relaxed K2HBr crystal.

Unit cell a=4.3877 b=4.3877 c=21.7662 alpha=90.00 beta=90.00 gamma=120.00
Space group R-3m (No. 166, hexagonal axes)
Symmetry-distinct sites (fractional):
1 K 0.0000 0.0000 0.2390 [6 per cell]
2 H 0.0000 0.0000 0.5000 [3 per cell]
3 Br 0.0000 0.0000 0.0000 [3 per cell]

Results
- Total energy: -2.7545 eV per atom
- Polymorph energy (0 for the lowest one): 0.317 kcal/mol of atoms

=====

(8)
The following is a DFT calculation (PBE) of a relaxed Rb2InOsF6 crystal.

Unit cell a=9.2487 b=9.2487 c=9.2487 alpha=90.00 beta=90.00 gamma=90.00
Space group Fm-3m (No. 225)
Symmetry-distinct sites (fractional):
1 Rb 0.2500 0.2500 0.2500 [8 per cell]
2 In 0.0000 0.0000 0.0000 [4 per cell]
3 Os 0.0000 0.0000 0.5000 [4 per cell]
4 F 0.0000 0.0000 0.2778 [24 per cell]

Results
- Formation energy without anion corrections: -1.96 eV/atom
- Total energy: -4.6761 eV per atom

=====

(9)
The following is a DFT calculation (PBE) of a relaxed Ti2GaO crystal.

Unit cell a=6.0770 b=6.0770 c=6.4788 alpha=90.00 beta=90.00 gamma=90.00
Space group I-42d (No. 122)
Symmetry-distinct sites (fractional):
1 Ti 0.1529 0.2500 0.1250 [8 per cell]
2 Ga 0.0000 0.0000 0.5000 [4 per cell]
3 O 0.0000 0.0000 0.0000 [4 per cell]

Results
- Formation energy without anion corrections: -1.21 eV/atom
- Total energy: -7.1514 eV per atom
- Polymorph energy (0 for the lowest one): 5.799 kcal/mol of atoms

=====

(10)
The following is a DFT calculation (PBE) of a relaxed PrOs crystal.

Unit cell a=3.5424 b=3.5424 c=3.5618 alpha=90.00 beta=90.00 gamma=90.00
Space group P4/mmm (No. 123)
Symmetry-distinct sites (fractional):
1 Pr 0.0000 0.0000 0.0000 [1 per cell]
2 Os 0.5000 0.5000 0.5000 [1 per cell]

Results
- ΔE_f: 0.7 eV per formula unit
- Total energy: -7.6681 eV per atom

=====

(11)
The following is a DFT calculation (PBE) of a relaxed TlAgPb2 crystal.

Unit cell a=3.6670 b=5.4448 c=11.1090 alpha=90.00 beta=90.00 gamma=90.00
Space group Imm2 (No. 44)
Symmetry-distinct sites (fractional):
1 Tl 0.0000 0.0000 0.0000 [2 per cell]
2 Ag 0.0000 0.5000 0.7236 [2 per cell]
3 Pb 0.0000 0.0000 0.4448 [2 per cell]
4 Pb 0.0000 0.5000 0.2226 [2 per cell]

Results
- ΔE_f: 0.4 eV per formula unit
- Total energy: -3.0690 eV per atom
- Polymorph energy (0 for the lowest one): 1.522 kcal/mol of atoms

=====

(12)
The following is a DFT calculation (PBE) of a relaxed Li3HoAg2 crystal.

Unit cell a=14.4795 b=4.1318 c=9.2323 alpha=90.00 beta=123.26 gamma=90.00
Space group C2/m (No. 12)
Symmetry-distinct sites (fractional):
1 Li 0.0667 0.0000 0.4117 [4 per cell]
2 Li 0.0741 0.5000 0.6854 [4 per cell]
3 Li 0.2343 0.5000 0.5812 [4 per cell]
4 Ho 0.1255 0.0000 0.0004 [4 per cell]
5 Ag 0.0759 0.5000 0.2042 [4 per cell]
6 Ag 0.2062 0.0000 0.7554 [4 per cell]

Results
- ΔE_f: -1.0 eV per formula unit
- Total energy: -2.8368 eV per atom